(1)
A relaxed structure of PrDyNiPd. Source: Alexandria via LeMat-Bulk, functional PBE-GGA.

Magnetization, μB/cell: 0.00

abc: 4.9898 4.9898 4.9898
angles: 60.00 60.00 60.00
With the nearest neighbours (Å) after each atom.
Fractional positions:
Dy 0.5000 0.5000 0.5000  4 Ni 3.06, 4 Pd 3.06
Ni 0.7500 0.7500 0.7500  4 Dy 3.06, 4 Pr 3.06
Pd 0.2500 0.2500 0.2500  4 Dy 3.06, 4 Pr 3.06
Pr 0.0000 0.0000 0.0000  4 Pd 3.06, 4 Ni 3.06

---

(2)
A relaxed structure of LiTbAgPd2. Source: Alexandria via LeMat-Bulk, functional PBE-GGA.

Magnetization, μB/cell: 0.00

abc: 5.9281 5.1715 5.9387
angles: 90.00 90.00 90.00
With the nearest neighbours (Å) after each atom.
Fractional positions:
Li 0.0000 0.0000 0.0000  2 Ag 2.54, 4 Pd 2.56, 2 Li 2.59
Li 0.0000 0.5000 0.0000  2 Ag 2.54, 4 Pd 2.56, 2 Li 2.59
Pd 0.2582 0.7500 0.2671  2 Li 2.56, 1 Ag 2.72, 1 Pd 2.77
Pd 0.7418 0.2500 0.7329  2 Li 2.56, 1 Ag 2.72, 1 Pd 2.77
Pd 0.7418 0.2500 0.2671  2 Li 2.56, 1 Ag 2.72, 1 Pd 2.77
Pd 0.2582 0.7500 0.7329  2 Li 2.56, 1 Ag 2.72, 1 Pd 2.77
Ag 0.6310 0.7500 0.0000  2 Li 2.54, 2 Pd 2.72
Ag 0.3690 0.2500 0.0000  2 Li 2.54, 2 Pd 2.72
Tb 0.2353 0.2500 0.5000  6 Pd 2.94-3.24, 2 Ag 3.07
Tb 0.7647 0.7500 0.5000  6 Pd 2.94-3.24, 2 Ag 3.07

---

(3)
A relaxed structure of ZnHgTe2. Source: Alexandria via LeMat-Bulk, functional PBE-GGA.

Formation energy from raw total energies, eV/atom: 0.149
Magnetization, μB/cell: 0.00

abc: 3.2730 3.2730 10.2048
angles: 90.00 90.00 105.37
With the nearest neighbours (Å) after each atom.
Fractional positions:
Te 0.5000 0.5000 0.3105  2 Zn 2.86
Te 0.0000 0.0000 0.9680  4 Te 3.27, 2 Hg 3.30
Zn 0.0000 0.0000 0.5122  2 Hg 2.83, 2 Te 2.86
Hg 0.5000 0.5000 0.7093  2 Zn 2.83

---

(4)
A relaxed structure of BeCr8. Source: Alexandria via LeMat-Bulk, functional PBE-GGA.

Magnetization, μB/cell: 0.00

abc: 5.4161 5.4161 5.4161
angles: 98.01 98.01 136.18
With the nearest neighbours (Å) after each atom.
Fractional positions:
Cr 0.3403 0.6597 0.0000  4 Cr 2.27-2.42
Cr 0.6733 0.0000 0.6733  1 Be 2.32, 3 Cr 2.42-2.46
Cr 0.0000 0.3267 0.3267  1 Be 2.32, 3 Cr 2.42-2.46
Cr 0.6597 0.6597 0.3195  4 Cr 2.27-2.42
Cr 0.0000 0.6733 0.6733  1 Be 2.32, 3 Cr 2.42-2.46
Cr 0.6597 0.3403 0.0000  4 Cr 2.27-2.42
Cr 0.3267 0.0000 0.3267  1 Be 2.32, 3 Cr 2.42-2.46
Cr 0.3403 0.3403 0.6805  4 Cr 2.27-2.42
Be 0.0000 0.0000 0.0000  12 Cr 2.32-2.58

---

(5)
A relaxed structure of TiAg3Bi3S8. Source: Alexandria via LeMat-Bulk, functional PBE-GGA.

Formation energy from raw total energies, eV/atom: -0.416
Magnetization, μB/cell: 0.08

abc: 7.9073 7.9069 7.8896
angles: 120.17 90.00 120.00
With the nearest neighbours (Å) after each atom.
Fractional positions:
S 0.7765 0.5529 0.2739  1 Ti 2.49
S 0.2448 0.4895 0.2350  3 Ag 2.73-2.74, 3 Bi 2.85
S 0.7764 0.9967 0.2738  1 Ti 2.49, 1 Ag 2.79
S 0.2203 0.9967 0.2738  1 Ti 2.49, 1 Ag 2.79
S 0.7552 0.5105 0.7650  3 Ag 2.73-2.74, 3 Bi 2.85
S 0.7797 0.0033 0.7262  1 Ti 2.49, 1 Ag 2.79
S 0.2235 0.4471 0.7261  1 Ti 2.49
S 0.2236 0.0033 0.7262  1 Ti 2.49, 1 Ag 2.79
Ag 0.5000 0.5000 0.0000  6 S 2.74-2.79
Ag 0.0000 0.0000 0.0000  6 S 2.73-2.79
Ag 0.0000 0.5000 0.0000  6 S 2.74-2.79
Ti 0.0000 0.0000 0.5000  6 S 2.49
Bi 0.5000 0.5000 0.5000  6 S 2.82-2.85
Bi 0.0000 0.5000 0.5000  6 S 2.82-2.85
Bi 0.5000 0.0000 0.5000  6 S 2.82-2.85

---

(6)
A relaxed structure of NdYTm2As4. Source: Alexandria via LeMat-Bulk, functional PBE-GGA.

Magnetization, μB/cell: 0.00

abc: 4.1354 7.1542 7.1570
angles: 70.52 90.00 90.00
With the nearest neighbours (Å) after each atom.
Fractional positions:
As 0.5000 0.2428 0.7485  3 Tm 2.87-2.91, 2 Y 2.94, 1 Nd 2.97
As 0.0000 0.2399 0.2574  3 Tm 2.87-2.91, 1 Y 2.94, 2 Nd 2.97
As 0.0000 0.7601 0.7426  3 Tm 2.87-2.91, 1 Y 2.94, 2 Nd 2.97
As 0.5000 0.7572 0.2515  3 Tm 2.87-2.91, 2 Y 2.94, 1 Nd 2.97
Tm 0.5000 0.0000 0.5000  6 As 2.87
Tm 0.0000 0.0000 0.0000  6 As 2.91
Nd 0.5000 0.5000 0.0000  6 As 2.97
Y 0.0000 0.5000 0.5000  6 As 2.94

---

(7)
A relaxed structure of KRbCd2Pd. Source: Alexandria via LeMat-Bulk, functional PBE-GGA.

Magnetization, μB/cell: 0.00

abc: 5.4327 5.4327 5.9533
angles: 90.00 90.00 90.00
With the nearest neighbours (Å) after each atom.
Fractional positions:
Cd 0.5000 0.0000 0.0000  2 Pd 2.72
Cd 0.0000 0.5000 0.0000  2 Pd 2.72
Pd 0.0000 0.0000 0.0000  4 Cd 2.72, 2 K 2.98
Rb 0.5000 0.5000 0.5000  4 K 3.84, 8 Cd 4.03
K 0.0000 0.0000 0.5000  2 Pd 2.98

---

(8)
A relaxed structure of InBr2Cl. Source: Alexandria via LeMat-Bulk, functional PBE-GGA.

Formation energy from raw total energies, eV/atom: -0.910
Magnetization, μB/cell: 0.00

abc: 7.1341 6.8291 6.7425
angles: 60.41 72.45 81.37
With the nearest neighbours (Å) after each atom.
Fractional positions:
Br 0.3921 0.5713 0.9321  2 In 2.71-2.72
Br 0.3892 0.2142 0.6423  2 In 2.71-2.73
Br 0.9249 0.2149 0.0805  2 In 2.71-2.73
Br 0.9221 0.5718 0.4337  2 In 2.71-2.72
Cl 0.9478 0.8501 0.7904  2 In 2.58-2.59
Cl 0.3662 0.8494 0.2972  2 In 2.58-2.59
In 0.1571 0.5503 0.6936  2 Cl 2.58, 4 Br 2.71-2.73
In 0.1569 0.8830 0.0272  2 Cl 2.59, 4 Br 2.71-2.72

---

(9)
A relaxed structure of Sm2TmGaC. Source: Alexandria via LeMat-Bulk, functional PBE-GGA.

Magnetization, μB/cell: 0.00

abc: 4.7789 5.0054 5.0054
angles: 90.00 90.00 90.00
With the nearest neighbours (Å) after each atom.
Fractional positions:
Tm 0.5000 0.0000 0.0000  2 C 2.39
C 0.0000 0.0000 0.0000  2 Tm 2.39, 4 Sm 2.50
Sm 0.0000 0.5000 0.0000  2 C 2.50
Sm 0.0000 0.0000 0.5000  2 C 2.50
Ga 0.5000 0.5000 0.5000  8 Sm 3.46, 4 Tm 3.54

---

(10)
A relaxed structure of Na3Pb2. Source: Alexandria via LeMat-Bulk, functional PBE-GGA.

Magnetization, μB/cell: 0.00

abc: 6.5982 6.5982 9.1870
angles: 68.95 68.95 60.00
With the nearest neighbours (Å) after each atom.
Fractional positions:
Na 0.7486 0.7514 0.2500  4 Pb 3.26-3.63, 4 Na 3.30
Na 0.2486 0.7500 0.7500  4 Pb 3.26-3.63, 4 Na 3.30
Na 0.2514 0.2486 0.7500  4 Pb 3.26-3.63, 4 Na 3.30
Na 0.2500 0.7486 0.2500  4 Pb 3.26-3.63, 4 Na 3.30
Na 0.7514 0.2500 0.2500  4 Pb 3.26-3.63, 4 Na 3.30
Na 0.7500 0.2514 0.7500  4 Pb 3.26-3.63, 4 Na 3.30
Pb 0.3113 0.3113 0.0661  1 Pb 3.07, 3 Na 3.26
Pb 0.8113 0.8113 0.5661  1 Pb 3.07, 3 Na 3.26
Pb 0.1887 0.1887 0.4339  1 Pb 3.07, 3 Na 3.26
Pb 0.6887 0.6887 0.9339  1 Pb 3.07, 3 Na 3.26

---

(11)
A relaxed structure of ScTaPO2. Source: Alexandria via LeMat-Bulk, functional PBE-GGA.

Formation energy from raw total energies, eV/atom: -1.842
Magnetization, μB/cell: 0.00

abc: 3.9087 3.9087 5.1685
angles: 90.00 90.00 90.00
With the nearest neighbours (Å) after each atom.
Fractional positions:
Ta 0.0000 0.0000 0.0000  4 O 1.95
P 0.0000 0.0000 0.5000  2 Ta 2.58, 4 Sc 2.76
O 0.5000 0.0000 0.0000  2 Ta 1.95
O 0.0000 0.5000 0.0000  2 Ta 1.95
Sc 0.5000 0.5000 0.5000  4 P 2.76

---

(12)
A relaxed structure of KSiC2O8. Source: Alexandria via LeMat-Bulk, functional PBE-GGA.

Formation energy from raw total energies, eV/atom: -1.171
Magnetization, μB/cell: 2.87

abc: 4.7394 4.4209 8.1180
angles: 70.93 73.03 57.59
With the nearest neighbours (Å) after each atom.
Fractional positions:
O 0.2213 0.5169 0.0405  1 C 1.38
O 0.7787 0.4831 0.9595  1 C 1.38
O 0.8125 0.7129 0.6620  1 C 1.34
O 0.6594 0.9858 0.1688  1 C 1.41
O 0.8140 0.0142 0.8312  1 C 1.41
O 0.3406 0.0142 0.8312  1 C 1.41
O 0.1875 0.2871 0.3380  1 C 1.34
O 0.1860 0.9858 0.1688  1 C 1.41
K 0.5000 0.5000 0.5000  10 O 2.87-3.03
C 0.3057 0.2123 0.1763  4 O 1.34-1.41
C 0.6943 0.7877 0.8237  4 O 1.34-1.41
Si 0.0000 0.0000 0.0000  6 O 1.76-1.80

---

How do the records compare in raw total energy? In the order shown, they have -5.602; -4.457; -1.816; -8.772; -4.490; -6.357; -1.915; -2.893; -5.604; -2.338; -8.544; -6.557 eV/atom.